Compound: DyPu2Cd
Source: Alexandria
Functional: PBE
Structure: optimized geometry

E = -34.02 eV per formula unit
SG = P4/mmm
energy of formation = 0.04 eV per atom

Unit cell a=4.492 b=4.492 c=5.266 alpha=90.00 beta=90.00 gamma=90.00
Element x y z (fractional)
Dy: 0.000 0.000 0.000
Pu: 0.000 0.500 0.500
Pu: 0.500 0.000 0.500
Cd: 0.500 0.500 0.000

***

Compound: KEr4
Source: Alexandria
Functional: PBE
Structure: optimized geometry

E = -13.94 eV per formula unit
SG = Pm-3m
energy of formation = 1.08 eV per atom

Unit cell a=5.467 b=5.467 c=5.467 alpha=90.00 beta=90.00 gamma=90.00
Element x y z (fractional)
K: 0.000 0.000 0.000
Er: 0.000 0.000 0.500
Er: 0.000 0.500 0.000
Er: 0.500 0.000 0.000
Er: 0.500 0.500 0.500

***

Compound: CuRuCl
Source: Alexandria
Functional: PBE
Structure: optimized geometry

E = -13.63 eV per formula unit
SG = Fmm2
uncorrected formation energy = 0.5304 eV/atom

Unit cell a=6.690 b=6.324 c=2.971 alpha=83.79 beta=70.01 gamma=26.20
Element x y z (fractional)
Cu: 0.000 0.000 0.000
Ru: 0.668 0.668 0.332
Cl: 0.330 0.330 0.670

***

Compound: YTlCuTe2
Source: Alexandria
Functional: PBE
Structure: optimized geometry

E = -21.75 eV per formula unit
SG = P2/c
uncorrected formation energy = -0.5080 eV/atom

Unit cell a=8.750 b=4.635 c=8.146 alpha=90.00 beta=98.63 gamma=90.00
Element x y z (fractional)
Y: 0.000 0.002 0.250
Y: 0.000 0.998 0.750
Tl: 0.500 0.304 0.250
Tl: 0.500 0.696 0.750
Cu: 0.000 0.500 0.000
Cu: 0.000 0.500 0.500
Te: 0.242 0.205 0.540
Te: 0.242 0.795 0.040
Te: 0.758 0.205 0.960
Te: 0.758 0.795 0.460